# Zr2HgPb

Zr2HgPb after structural relaxation (PBE, Alexandria via LeMat-Bulk).

```
Zr2HgPb
1.0
1.6667 0.9623 10.4902
-1.6667 0.9623 10.4902
0.0000 -1.9245 10.4902
Zr Hg Pb
2 1 1
Direct
0.0000 0.0000 0.0000 Zr
0.2575 0.2575 0.2575 Zr
0.7444 0.7444 0.7444 Hg
0.5024 0.5024 0.5024 Pb
```

Calculated total energy   -5.258 eV per atom
Formation enthalpy at 0 K   0.0186 eV/atom
Relative energy among the computed polymorphs   0.194 eV per atom

# ScFeCu

ScFeCu after structural relaxation (PBE, Alexandria via LeMat-Bulk).

```
ScFeCu
1.0
0.0000 2.9744 2.9744
2.9744 0.0000 2.9744
2.9744 2.9744 0.0000
Sc Fe Cu
1 1 1
Direct
0.0000 0.0000 0.0000 Sc
0.5000 0.5000 0.5000 Fe
0.7500 0.7500 0.7500 Cu
```

Calculated total energy   -5.984 eV per atom
Formation enthalpy at 0 K   0.3127 eV/atom

# TbTmAgIr

TbTmAgIr after structural relaxation (PBE, Alexandria via LeMat-Bulk).

```
TbTmAgIr
1.0
0.0000 3.5010 3.5010
3.5010 0.0000 3.5010
3.5010 3.5010 0.0000
Tb Tm Ag Ir
1 1 1 1
Direct
0.0000 0.0000 0.0000 Tb
0.5000 0.5000 0.5000 Tm
0.7500 0.7500 0.7500 Ag
0.2500 0.2500 0.2500 Ir
```

Calculated total energy   -5.820 eV per atom
Formation enthalpy at 0 K   -0.6162 eV/atom

What did the first record say?
# Zr2HgPb

Zr2HgPb after structural relaxation (PBE, Alexandria via LeMat-Bulk).

```
Zr2HgPb
1.0
1.6667 0.9623 10.4902
-1.6667 0.9623 10.4902
0.0000 -1.9245 10.4902
Zr Hg Pb
2 1 1
Direct
0.0000 0.0000 0.0000 Zr
0.2575 0.2575 0.2575 Zr
0.7444 0.7444 0.7444 Hg
0.5024 0.5024 0.5024 Pb
```

Calculated total energy   -5.258 eV per atom
Formation enthalpy at 0 K   0.0186 eV/atom
Relative energy among the computed polymorphs   0.194 eV per atom